A geometry-optimized Sm4TmSe7 structure. Source: Alexandria, functional PBE.

## Properties
The density of states at the Fermi level comes out at 1.4 states/eV/cell. Its total energy is -5.852 eV per atom. The energy relative to the elements, uncorrected is -180.8 kJ/mol of atoms. The calculation puts the size of the total moment at 0.00 μB/atom. The value obtained for the volume is 327.04 Å³ per cell. As for the crystal system: monoclinic.

a b c (Å): 4.034 7.089 12.339
angles (deg): 104.19 90.00 106.53
Element x y z (fractional)
1 Sm 0.699 0.399 0.809
2 Sm 0.301 0.601 0.191
3 Sm 0.999 0.999 0.998
4 Sm 0.112 0.224 0.425
5 Tm 0.887 0.774 0.577
6 Se 0.744 0.487 0.356
7 Se 0.266 0.531 0.647
8 Se 0.338 0.677 0.949
9 Se 0.660 0.321 0.051
10 Se 0.037 0.074 0.779
11 Se 0.961 0.922 0.215
12 Se 0.496 0.991 0.503